No. 1
{"formula": "Y8Ho4Er3", "functional": "PBE-GGA", "state": "optimized geometry", "lattice_angstrom": [[3.463, 1.999, 11.707], [-3.463, 1.999, 11.707], [0.000, -3.998, 11.707]], "species": ["Y", "Y", "Y", "Y", "Y", "Y", "Y", "Y", "Ho", "Ho", "Ho", "Ho", "Er", "Er", "Er"], "fractional_positions": [[0.245, 0.245, 0.245], [0.248, 0.751, 0.751], [0.249, 0.249, 0.752], [0.249, 0.752, 0.249], [0.751, 0.248, 0.751], [0.751, 0.751, 0.248], [0.752, 0.249, 0.249], [0.755, 0.755, 0.755], [0.000, 0.000, 0.000], [0.336, 0.336, 0.336], [0.500, 0.500, 0.500], [0.664, 0.664, 0.664], [0.000, 0.000, 0.500], [0.000, 0.500, 0.000], [0.500, 0.000, 0.000]], "space_group": "R-3m", "polymorph_energy_ev_per_atom": 0.000, "m_tot_mub_per_cell": 0.0, "ef_mev_per_atom": 158}


No. 2
{"formula": "CaSc2SbC", "functional": "PBE-GGA", "state": "optimized geometry", "lattice_angstrom": [[4.557, 0.000, 0.000], [0.000, 4.557, 0.000], [0.000, 0.000, 4.925]], "species": ["Ca", "Sc", "Sc", "Sb", "C"], "fractional_positions": [[0.000, 0.000, 0.000], [0.000, 0.500, 0.500], [0.500, 0.000, 0.500], [0.500, 0.500, 0.000], [0.000, 0.000, 0.500]], "space_group": "P4/mmm", "m_tot_mub_per_cell": 0.0, "formation_energy_uncorrected_ev_per_fu": -3.2}


No. 3
{"formula": "AgPbC2", "functional": "PBE-GGA", "state": "optimized geometry", "lattice_angstrom": [[5.035, 0.000, 0.000], [0.000, 5.035, 0.000], [0.000, 0.000, 10.979]], "species": ["Ag", "Ag", "Ag", "Ag", "Pb", "Pb", "Pb", "Pb", "C", "C", "C", "C", "C", "C", "C", "C"], "fractional_positions": [[0.000, 0.000, 0.000], [0.000, 0.500, 0.250], [0.500, 0.000, 0.750], [0.500, 0.500, 0.500], [0.000, 0.000, 0.500], [0.000, 0.500, 0.750], [0.500, 0.000, 0.250], [0.500, 0.500, 0.000], [0.216, 0.250, 0.125], [0.250, 0.716, 0.375], [0.250, 0.784, 0.875], [0.284, 0.250, 0.625], [0.716, 0.750, 0.625], [0.750, 0.216, 0.875], [0.750, 0.284, 0.375], [0.784, 0.750, 0.125]], "space_group": "I-42d", "m_tot_mub_per_cell": 0.0, "ef_mev_per_atom": 1947}


No. 4
{"formula": "Pm3Pr2Sm6Mg", "functional": "PBE-GGA", "state": "optimized geometry", "lattice_angstrom": [[3.133, -5.428, 0.000], [3.133, 5.428, 0.000], [-2.100, 0.000, 11.816]], "species": ["Pm", "Pm", "Pm", "Pr", "Pr", "Sm", "Sm", "Sm", "Sm", "Sm", "Sm", "Mg"], "fractional_positions": [[0.000, 0.000, 0.000], [0.334, 0.666, 0.000], [0.666, 0.334, 0.000], [0.167, 0.833, 0.500], [0.833, 0.167, 0.500], [0.087, 0.417, 0.251], [0.252, 0.252, 0.750], [0.417, 0.087, 0.251], [0.583, 0.913, 0.749], [0.748, 0.748, 0.250], [0.913, 0.583, 0.749], [0.500, 0.500, 0.500]], "space_group": "C2/m", "m_tot_mub_per_cell": 0.0, "ef_mev_per_atom": 16}


No. 5
{"formula": "Pm6Pr3Tm2In", "functional": "PBE-GGA", "state": "optimized geometry", "lattice_angstrom": [[3.128, -5.442, 0.000], [3.128, 5.442, 0.000], [-2.137, 0.000, 11.625]], "species": ["Pm", "Pm", "Pm", "Pm", "Pm", "Pm", "Pr", "Pr", "Pr", "Tm", "Tm", "In"], "fractional_positions": [[0.079, 0.405, 0.240], [0.247, 0.247, 0.758], [0.405, 0.079, 0.240], [0.595, 0.921, 0.760], [0.753, 0.753, 0.242], [0.921, 0.595, 0.760], [0.169, 0.831, 0.500], [0.500, 0.500, 0.500], [0.831, 0.169, 0.500], [0.334, 0.666, 0.000], [0.666, 0.334, 0.000], [0.000, 0.000, 0.000]], "space_group": "C2/m", "m_tot_mub_per_cell": 0.0, "ef_mev_per_atom": -27}


No. 6
{"formula": "BeS8Br2", "functional": "PBE-GGA", "state": "optimized geometry", "lattice_angstrom": [[5.498, 0.000, 0.000], [2.046, 7.136, 0.000], [2.173, 2.593, 8.888]], "species": ["Be", "S", "S", "S", "S", "S", "S", "S", "S", "Br", "Br"], "fractional_positions": [[0.000, 0.000, 0.000], [0.101, 0.242, 0.778], [0.131, 0.963, 0.769], [0.231, 0.682, 0.319], [0.422, 0.888, 0.023], [0.578, 0.112, 0.977], [0.769, 0.318, 0.681], [0.869, 0.037, 0.231], [0.899, 0.758, 0.222], [0.424, 0.371, 0.318], [0.576, 0.629, 0.682]], "space_group": "P-1", "m_tot_mub_per_cell": 0.0, "formation_energy_uncorrected_ev_per_fu": 1.2}


No. 7
{"formula": "SmEr3Al2", "functional": "PBE-GGA", "state": "optimized geometry", "lattice_angstrom": [[3.526, 0.000, 0.000], [0.000, 3.526, 0.000], [0.000, 0.000, 12.568]], "species": ["Sm", "Er", "Er", "Er", "Al", "Al"], "fractional_positions": [[0.000, 0.000, 0.000], [0.500, 0.500, 0.205], [0.500, 0.500, 0.500], [0.500, 0.500, 0.795], [0.000, 0.000, 0.352], [0.000, 0.000, 0.648]], "space_group": "P4/mmm", "polymorph_energy_ev_per_atom": 0.000, "m_tot_mub_per_cell": 0.0, "ef_mev_per_atom": -258}


No. 8
{"formula": "NaTl2GaSb2", "functional": "PBE-GGA", "state": "optimized geometry", "lattice_angstrom": [[4.692, 0.000, 0.000], [0.000, 9.786, 0.000], [0.000, 0.000, 7.720]], "species": ["Na", "Na", "Tl", "Tl", "Tl", "Tl", "Ga", "Ga", "Sb", "Sb", "Sb", "Sb"], "fractional_positions": [[0.000, 0.051, 0.000], [0.000, 0.949, 0.500], [0.000, 0.339, 0.326], [0.000, 0.661, 0.826], [0.500, 0.408, 0.014], [0.500, 0.592, 0.514], [0.500, 0.151, 0.650], [0.500, 0.849, 0.150], [0.000, 0.301, 0.734], [0.000, 0.699, 0.234], [0.500, 0.115, 0.283], [0.500, 0.885, 0.783]], "space_group": "Pmc2_1", "m_tot_mub_per_cell": 0.0, "formation_energy_uncorrected_ev_per_fu": -0.8}